1.
NdDy8Tm2 | the Alexandria database | PBE | optimized geometry; density of states at the Fermi level = 15.512 states/eV/f.u.; crystal system = orthorhombic; formation enthalpy at 0 K = 0.116 eV per atom; distance to the lowest polymorph of the same formula = 0.000 eV/atom; space-group type = Immm; electronic total energy = -0.1645 Ha/atom; total magnetization = 0.00 μB per atom
1.0
5.2561 0.0000 -1.5960
-0.9929 7.3523 -3.2699
-0.0424 -0.3340 9.3133
Tm Dy Nd
2 8 1
Cartesian
3.8840 2.0094 3.3382 Tm
0.3368 5.0090 1.1092 Tm
4.9199 1.8412 6.7498 Dy
2.9188 3.0929 0.1595 Dy
-0.6991 5.1771 -2.3024 Dy
1.3020 3.9254 4.2879 Dy
1.7112 0.8950 5.6355 Dy
2.5096 6.1233 -1.1881 Dy
0.6863 1.0980 2.2603 Dy
3.5344 5.9203 2.1871 Dy
2.6280 0.0000 -0.7980 Nd

2.
Li2PuPdO6 | the Alexandria database | PBE | optimized geometry; density of states at the Fermi level = 3.486 states/eV/f.u.; crystal system = tetragonal; space-group type = P4mm; energy relative to the elements, uncorrected = -1.560 eV per atom; electronic total energy = -0.2525 Ha/atom; total magnetization = 0.36 μB per atom
1.0
4.0773 0.0000 0.0000
0.0000 5.8890 0.0000
0.0000 0.0000 5.8890
O Pd Li Pu
6 1 2 1
Cartesian
3.0334 4.4644 4.4644 O
0.9900 0.0000 0.0000 O
3.0334 1.4246 1.4246 O
0.9907 2.9445 2.9445 O
3.0334 1.4246 4.4644 O
3.0334 4.4644 1.4246 O
3.0285 2.9445 2.9445 Pd
3.0574 2.9445 0.0000 Li
3.0574 0.0000 2.9445 Li
3.0277 0.0000 0.0000 Pu